Record 1
The following is a PBE calculation of crystalline CaTeBr2 at its relaxed geometry, from Alexandria via LeMat-Bulk. Values from VASP.

```
&SYSTEM
  ibrav = 0, nat = 4, ntyp = 3
/
ATOMIC_SPECIES
Ca 40.08 Ca.upf
Te 127.60 Te.upf
Br 79.90 Br.upf
ATOMIC_POSITIONS angstrom
Ca 0.000 0.000 0.000
Te 5.862 5.862 5.862
Br 1.954 1.954 1.954
Br 3.908 3.908 3.908
CELL_PARAMETERS angstrom
0.000 3.908 3.908
3.908 0.000 3.908
3.908 3.908 0.000
```

Properties
- size of the total moment (μB/atom) = 0.487
- distance to the lowest polymorph of the same formula (meV/atom) = 511.9


Record 2
The following is a PBE calculation of crystalline Ca5Te4Br at its relaxed geometry, from Alexandria via LeMat-Bulk. Values from VASP.

```
&SYSTEM
  ibrav = 0, nat = 10, ntyp = 3
/
ATOMIC_SPECIES
Ca 40.08 Ca.upf
Te 127.60 Te.upf
Br 79.90 Br.upf
ATOMIC_POSITIONS angstrom
Ca 0.000 0.000 0.000
Ca 6.003 1.933 0.000
Ca 1.933 4.001 0.000
Ca 3.069 1.001 3.156
Ca -1.001 3.069 3.156
Te 2.966 1.027 0.000
Te 3.975 -2.036 3.156
Te 1.027 7.038 0.000
Te 2.036 3.975 3.156
Br 0.000 0.000 3.156
CELL_PARAMETERS angstrom
-5.002 5.002 3.156
5.002 -5.002 3.156
5.002 5.002 -3.156
```

Properties
- E_tot (eV/atom) = -4.02
- size of the total moment (μB/atom) = 0.000


Record 3
The following is a PBE calculation of crystalline CaTe3Br at its relaxed geometry, from Alexandria via LeMat-Bulk. Values from VASP.

```
&SYSTEM
  ibrav = 0, nat = 5, ntyp = 3
/
ATOMIC_SPECIES
Ca 40.08 Ca.upf
Te 127.60 Te.upf
Br 79.90 Br.upf
ATOMIC_POSITIONS angstrom
Ca 0.000 0.000 0.000
Te 0.000 2.803 2.803
Te 2.803 0.000 2.803
Te 2.803 2.803 0.000
Br 2.803 2.803 2.803
CELL_PARAMETERS angstrom
5.606 0.000 0.000
0.000 5.606 0.000
0.000 0.000 5.606
```

Properties
- size of the total moment (μB/atom) = 0.000
- distance to the lowest polymorph of the same formula (meV/atom) = 0.0


| no. | DOS(E_F) (states/eV per atom) |
| --- | --- |
| 1 | 1.177 |
| 2 | 0.301 |
| 3 | 0.518 |